Below is an optimized crystal structure of TaPRh, with properties calculated at the GGA-PBEsol level.

Output
**Energy relative to the elements**: -25.56 kJ/mol of atoms
**N(E_F)**: 0.99 states/eV per atom
**Total moment**: 0.00 μB per formula unit

Lattice parameters (Å, degrees): 2.854 2.854 6.150 90.00 90.00 120.00
Sites, in units of the cell vectors:
Ta1 0.000 0.000 0.000
P1 0.333 0.667 0.658
Rh1 0.667 0.333 0.368